(1)
DFT (PBE) results for a relaxed structure of La2BiP3Rh4.

Cell and atoms, written as POSCAR:
```
La2BiP3Rh4
1.0
4.1264 0.0000 0.0000
0.0000 4.1264 0.0000
0.0000 0.0000 11.0097
Rh P La Bi
4 3 2 1
Direct
0.5000 0.5000 0.0000
0.0000 0.0000 0.0000
0.0000 0.5000 0.3326
0.5000 0.0000 0.6674
0.5000 0.0000 0.8774
0.0000 0.0000 0.5000
0.0000 0.5000 0.1226
0.0000 0.5000 0.7654
0.5000 0.0000 0.2346
0.5000 0.5000 0.5000
```

Computed properties:
The calculation puts the electronic total energy at -6.833 eV per atom. The density of states at the Fermi level comes out at 5.03 states/eV/cell. As for the space-group type: P-4m2. As for the total magnetic moment: 0.0 μB/cell. The formation energy comes out at -9.0 eV/f.u.

(2)
DFT (PBE) results for a relaxed structure of PrDy3Tm6Sc2.

Cell and atoms, written as POSCAR:
```
PrDy3Tm6Sc2
1.0
-0.1080 -2.3457 -5.5476
5.2399 1.6701 2.4585
-0.4362 -10.2058 5.4106
Dy Tm Sc Pr
3 6 2 1
Direct
0.5000 0.5000 0.5000
0.1673 0.8327 0.5000
0.8327 0.1673 0.5000
0.4191 0.0832 0.2472
0.9168 0.5809 0.7528
0.2531 0.2531 0.7529
0.5809 0.9168 0.7528
0.7469 0.7469 0.2471
0.0832 0.4191 0.2472
0.6667 0.3333 0.0000
0.3333 0.6667 0.0000
0.0000 0.0000 0.0000
```

Computed properties:
The calculation puts the electronic total energy at -4.801 eV per atom. The density of states at the Fermi level comes out at 16.77 states/eV/cell. As for the space-group type: C2/m. As for the total magnetic moment: 0.0 μB/cell. The formation energy comes out at 0.5 eV/f.u.